First-principles (PBE) data for a geometry-optimized CeAg3I2Br6 structure, as listed in Alexandria via LeMat-Bulk.

Calculated values
The calculation puts the raw formation energy at -74 kJ per mole of atoms. The calculated volume comes out at 792.6 Å³/cell.

Lattice parameters (Å, degrees): 14.4917 8.2290 6.6771 90.00 95.52 90.00
Space group C2/m (No. 12)
One atom of each set of equivalent atoms:
Ce  0.0000  0.0000  0.0000
Ag  0.0000  0.5000  0.5000
Ag  0.2500  0.2500  0.0000
I  0.1721  0.5000  0.7414
Br  0.0809  0.2444  0.2520
Br  0.1568  0.0000  0.7689